1.
PmHoTe3 PBE-GGA optimized geometry; calculated volume = 628.36 Å³ per cell; symmetry = Pnma (62); size of the total moment = 0.00 μB per cell; crystal system = orthorhombic; VASP energy = -5.15 eV per atom
1.0
4.3771 0.0000 0.0000
0.0000 8.2636 0.0000
0.0000 0.0000 17.3724
Te Ho Pm
12 4 4
Direct
0.7500 0.3429 0.2854 Te
0.7500 0.6171 0.4363 Te
0.2500 0.6571 0.7146 Te
0.2500 0.0041 0.3932 Te
0.7500 0.8429 0.2146 Te
0.7500 0.9959 0.6068 Te
0.2500 0.5041 0.1068 Te
0.2500 0.3829 0.5637 Te
0.2500 0.1571 0.7854 Te
0.2500 0.8829 0.9363 Te
0.7500 0.4959 0.8932 Te
0.7500 0.1171 0.0637 Te
0.2500 0.7723 0.5415 Ho
0.2500 0.2723 0.9585 Ho
0.7500 0.2277 0.4585 Ho
0.7500 0.7277 0.0415 Ho
0.7500 0.8657 0.7995 Pm
0.7500 0.3657 0.7005 Pm
0.2500 0.1343 0.2005 Pm
0.2500 0.6343 0.2995 Pm

2.
Pm4HoTe5 PBE-GGA optimized geometry; calculated volume = 309.69 Å³ per cell; symmetry = I4 (79); size of the total moment = 0.00 μB per cell; crystal system = tetragonal; VASP energy = -5.30 eV per atom
1.0
-5.2149 -0.9818 -3.3519
1.2370 -3.3242 -6.8272
-3.3148 -6.8239 1.2795
Pm Te Ho
4 5 1
Direct
0.5931 0.5967 0.2187 Pm
0.8118 0.7813 0.5967 Pm
0.1898 0.2187 0.4033 Pm
0.4085 0.4033 0.7813 Pm
0.8964 0.3929 0.8158 Te
0.1051 0.6071 0.1842 Te
0.5018 0.0000 0.0000 Te
0.7122 0.1842 0.3929 Te
0.2893 0.8158 0.6071 Te
0.0020 0.0000 0.0000 Ho

3.
Pm4HoTe5 PBE-GGA optimized geometry; calculated volume = 310.07 Å³ per cell; symmetry = I4/mmm (139); size of the total moment = 0.00 μB per cell; crystal system = tetragonal; VASP energy = -5.31 eV per atom
1.0
-2.2733 3.1659 -2.0698
-3.3178 -0.5092 2.8650
9.3490 9.6103 9.1359
Te Pm Ho
5 4 1
Direct
0.7049 0.7049 0.4098 Te
0.0945 0.0945 0.1890 Te
0.2951 0.2951 0.5902 Te
0.9055 0.9055 0.8110 Te
0.5000 0.5000 0.0000 Te
0.6047 0.6047 0.2094 Pm
0.8083 0.8083 0.6165 Pm
0.3953 0.3953 0.7906 Pm
0.1917 0.1917 0.3835 Pm
0.0000 0.0000 0.0000 Ho

4.
Pm3Ho2Te5 PBE-GGA optimized geometry; calculated volume = 304.01 Å³ per cell; symmetry = C2/m (12); size of the total moment = 0.00 μB per cell; crystal system = monoclinic; VASP energy = -5.26 eV per atom
1.0
-2.4691 2.5067 2.6498
-6.3632 1.7165 -3.8923
-4.0246 -6.5906 6.1455
Ho Te Pm
2 5 3
Direct
0.3039 0.2929 0.0992 Ho
0.6961 0.7071 0.9008 Ho
0.6120 0.5865 0.1895 Te
0.7950 0.8013 0.6086 Te
0.0000 0.0000 0.0000 Te
0.2050 0.1987 0.3914 Te
0.3880 0.4135 0.8105 Te
0.9014 0.8916 0.3055 Pm
0.5000 0.5000 0.5000 Pm
0.0986 0.1084 0.6945 Pm

5.
Pm2Ho3ThTe6 PBE-GGA optimized geometry; calculated volume = 362.47 Å³ per cell; symmetry = C2/m (12); size of the total moment = 0.00 μB per cell; crystal system = monoclinic; VASP energy = -5.38 eV per atom
1.0
4.3322 0.0000 0.0000
0.0000 8.9522 0.0890
-2.1661 -2.8204 9.3180
Te Th Ho Pm
6 1 3 2
Direct
0.9951 0.2585 0.9902 Te
0.0049 0.7415 0.0098 Te
0.3330 0.4153 0.6661 Te
0.3294 0.9283 0.6587 Te
0.6670 0.5847 0.3339 Te
0.6706 0.0717 0.3413 Te
0.5000 0.0000 0.0000 Th
0.5000 0.5000 0.0000 Ho
0.1658 0.8293 0.3316 Ho
0.8342 0.1707 0.6684 Ho
0.1600 0.3188 0.3201 Pm
0.8400 0.6812 0.6799 Pm

6.
Pm3Ho2ThTe6 PBE-GGA optimized geometry; calculated volume = 367.97 Å³ per cell; symmetry = C2/m (12); size of the total moment = 0.00 μB per cell; crystal system = monoclinic; VASP energy = -5.42 eV per atom
1.0
4.3743 0.0000 0.0000
0.0000 8.9330 0.4989
-2.1872 -2.3817 9.2839
Te Pm Th Ho
6 3 1 2
Direct
0.0061 0.2565 0.0123 Te
0.3298 0.4177 0.6595 Te
0.6702 0.5823 0.3405 Te
0.3283 0.9021 0.6565 Te
0.6717 0.0979 0.3435 Te
0.9939 0.7435 0.9877 Te
0.8427 0.1620 0.6853 Pm
0.1573 0.8380 0.3147 Pm
0.5000 0.5000 0.0000 Pm
0.5000 0.0000 0.0000 Th
0.1650 0.3346 0.3300 Ho
0.8350 0.6654 0.6700 Ho

7.
Pm2HoTh3Te6 PBE-GGA optimized geometry; calculated volume = 371.75 Å³ per cell; symmetry = C2/m (12); size of the total moment = 0.00 μB per cell; crystal system = monoclinic; VASP energy = -5.77 eV per atom
1.0
4.3275 0.0000 0.0000
0.0000 9.1403 -0.1521
-2.1637 -3.1336 9.4506
Te Th Ho Pm
6 3 1 2
Direct
0.6677 0.5810 0.3355 Te
0.0004 0.7603 0.0008 Te
0.3385 0.9160 0.6770 Te
0.9996 0.2397 0.9992 Te
0.3323 0.4190 0.6645 Te
0.6615 0.0840 0.3230 Te
0.5000 0.5000 0.0000 Th
0.1698 0.8362 0.3396 Th
0.8302 0.1638 0.6604 Th
0.5000 0.0000 0.0000 Ho
0.8329 0.6656 0.6657 Pm
0.1671 0.3344 0.3343 Pm

8.
PmHo2TmTe6 PBE-GGA optimized geometry; calculated volume = 361.31 Å³ per cell; symmetry = R3 (146); size of the total moment = 0.00 μB per cell; crystal system = trigonal; VASP energy = -5.08 eV per atom
1.0
7.7061 -0.0003 0.0006
3.8528 6.6740 0.0004
3.8530 2.2250 7.0254
Te Pm Ho Tm
6 1 2 1
Direct
0.4049 0.7296 0.7530 Te
0.6002 0.2358 0.2470 Te
0.9169 0.6002 0.2470 Te
0.7295 0.1127 0.7530 Te
0.2358 0.9170 0.2471 Te
0.1126 0.4048 0.7529 Te
0.8211 0.8210 0.5369 Pm
0.0078 0.0077 0.9768 Ho
0.5094 0.5095 0.4716 Ho
0.3233 0.3234 0.0300 Tm

9.
Pm3HoTm2Te6 PBE-GGA optimized geometry; calculated volume = 358.88 Å³ per cell; symmetry = C2/m (12); size of the total moment = 0.00 μB per cell; crystal system = monoclinic; VASP energy = -5.19 eV per atom
1.0
-1.7045 -3.2389 2.3214
4.9415 -5.8499 -4.5336
6.2635 4.1886 6.3973
Te Tm Pm Ho
6 2 3 1
Direct
0.6703 0.5750 0.3407 Te
0.6649 0.0919 0.3299 Te
0.3351 0.9081 0.6701 Te
0.0037 0.2443 0.0074 Te
0.3297 0.4250 0.6593 Te
0.9963 0.7557 0.9926 Te
0.8342 0.6683 0.6683 Tm
0.1658 0.3317 0.3317 Tm
0.5000 0.5000 0.0000 Pm
0.1651 0.8326 0.3302 Pm
0.8349 0.1674 0.6698 Pm
0.5000 0.0000 0.0000 Ho

10.
Pm3HoTm3Te8 PBE-GGA optimized geometry; calculated volume = 471.04 Å³ per cell; symmetry = R-3m (166); size of the total moment = 0.00 μB per cell; crystal system = trigonal; VASP energy = -5.19 eV per atom
1.0
-4.6337 -5.3887 5.0369
8.6250 -1.0133 -0.6818
-3.2482 6.8658 4.3572
Tm Te Pm Ho
3 8 3 1
Direct
0.0000 0.5000 0.5000 Tm
0.5000 0.5000 0.5000 Tm
0.5000 0.0000 0.5000 Tm
0.7466 0.4931 0.2556 Te
0.7376 0.9910 0.7444 Te
0.7456 0.4912 0.7367 Te
0.2534 0.9910 0.7444 Te
0.2624 0.0090 0.2556 Te
0.2534 0.5069 0.7444 Te
0.7466 0.0090 0.2556 Te
0.2544 0.5088 0.2633 Te
0.0000 0.0000 0.0000 Pm
0.0000 0.5000 0.0000 Pm
0.5000 0.5000 0.0000 Pm
0.0000 0.0000 0.5000 Ho

11.
PmY2HoTe6 PBE-GGA optimized geometry; calculated volume = 366.29 Å³ per cell; symmetry = R3 (146); size of the total moment = 0.00 μB per cell; crystal system = trigonal; VASP energy = -5.49 eV per atom
1.0
-1.9381 -2.4237 -7.0940
5.4952 -1.1636 -5.3293
1.8194 -7.8956 -2.0250
Y Ho Te Pm
2 1 6 1
Direct
0.5098 0.5098 0.4707 Y
0.0081 0.0082 0.9755 Y
0.3231 0.3231 0.0307 Ho
0.2339 0.9168 0.2482 Te
0.7296 0.1115 0.7523 Te
0.6011 0.2339 0.2482 Te
0.9168 0.6011 0.2482 Te
0.4066 0.7296 0.7523 Te
0.1116 0.4065 0.7522 Te
0.8210 0.8210 0.5369 Pm

12.
Pm3YHo3Te8 PBE-GGA optimized geometry; calculated volume = 476.97 Å³ per cell; symmetry = R-3m (166); size of the total moment = 0.00 μB per cell; crystal system = trigonal; VASP energy = -5.37 eV per atom
1.0
-0.7515 -2.6261 8.3191
-4.8572 -3.7675 -6.2361
8.6511 -1.4911 0.3108
Y Pm Te Ho
1 3 8 3
Direct
0.0000 0.0000 0.5000 Y
0.0000 0.0000 0.0000 Pm
0.5000 0.5000 0.0000 Pm
0.0000 0.5000 0.0000 Pm
0.2538 0.9930 0.7468 Te
0.7465 0.4931 0.7396 Te
0.2535 0.5069 0.2604 Te
0.2608 0.0070 0.2532 Te
0.7462 0.4923 0.2532 Te
0.7462 0.0070 0.2532 Te
0.2538 0.5077 0.7468 Te
0.7392 0.9930 0.7468 Te
0.5000 0.5000 0.5000 Ho
0.0000 0.5000 0.5000 Ho
0.5000 0.0000 0.5000 Ho